No. 1
VASP calculation (PBE) on an optimized crystal structure of Ce2Zn6Ru.

POSCAR file:
```
Ce2Zn6Ru
1.0
-1.416 5.786 1.428
-2.149 -2.775 -4.027
-4.991 -1.974 3.049
Zn Ce Ru
6 2 1
direct
0.135 0.271 0.345
0.865 0.729 0.655
0.610 0.796 0.349
0.187 0.796 0.349
0.390 0.204 0.651
0.813 0.204 0.651
0.311 0.623 0.880
0.689 0.377 0.120
0.000 0.000 0.000
```

Values from the calculation:
Calculated formation energy = -0.244 eV per atom
Space group = No. 12
E = -3.44 eV/atom

***

No. 2
VASP calculation (PBE) on an optimized crystal structure of La2PrDy3.

POSCAR file:
```
La2PrDy3
1.0
6.850 0.000 0.000
-3.425 8.689 -1.474
0.000 0.225 6.953
La Dy Pr
4 6 2
direct
0.609 0.358 0.141
0.749 0.358 0.641
0.251 0.642 0.359
0.391 0.642 0.859
0.249 0.000 0.250
0.805 0.712 0.473
0.195 0.288 0.527
0.094 0.288 0.027
0.751 0.000 0.750
0.906 0.712 0.973
0.738 0.000 0.250
0.262 0.000 0.750
```

Values from the calculation:
E above lowest polymorph = 64 meV/atom
Calculated formation energy = 0.124 eV per atom
Space group = No. 15
E = -4.62 eV/atom

***

Copy entry 2 word for word.
VASP calculation (PBE) on an optimized crystal structure of La2PrDy3.

POSCAR file:
```
La2PrDy3
1.0
6.850 0.000 0.000
-3.425 8.689 -1.474
0.000 0.225 6.953
La Dy Pr
4 6 2
direct
0.609 0.358 0.141
0.749 0.358 0.641
0.251 0.642 0.359
0.391 0.642 0.859
0.249 0.000 0.250
0.805 0.712 0.473
0.195 0.288 0.527
0.094 0.288 0.027
0.751 0.000 0.750
0.906 0.712 0.973
0.738 0.000 0.250
0.262 0.000 0.750
```

Values from the calculation:
E above lowest polymorph = 64 meV/atom
Calculated formation energy = 0.124 eV per atom
Space group = No. 15
E = -4.62 eV/atom

***

- Number 2 is which compound?
  La2PrDy3

***

- calculated formation energy of number 1 (Ce2Zn6Ru)?
  -0.244 eV per atom